Entry 1:
Density functional theory data (PBE) for a geometry-optimized MgPt4Br structure.

Output
Total energy   -0.334 Ry/atom
Formation energy without anion corrections   0.027 eV per atom
DOS at the Fermi energy   6.9 states/eV/f.u.
Space group   No. 216

Cell lengths 5.383, 5.383, 5.383 Å; angles 60.00, 60.00, 60.00 degrees
Sites, in units of the cell vectors:
1 Mg 0.000 0.000 0.000
2 Pt 0.374 0.877 0.374
3 Pt 0.374 0.374 0.374
4 Pt 0.877 0.374 0.374
5 Pt 0.374 0.374 0.877
6 Br 0.750 0.750 0.750

=====

Entry 2:
Density functional theory data (PBE) for a geometry-optimized V4FeC2 structure.

Output
Total energy   -0.620 Ry/atom
DOS at the Fermi energy   7.8 states/eV/f.u.
Space group   No. 139

Cell lengths 4.288, 4.288, 5.737 Å; angles 68.05, 68.05, 90.00 degrees
Sites, in units of the cell vectors:
1 V 0.000 0.500 0.000
2 V 0.500 0.000 0.000
3 V 0.237 0.237 0.526
4 V 0.763 0.763 0.474
5 C 0.570 0.570 0.860
6 C 0.430 0.430 0.140
7 Fe 0.000 0.000 0.000

=====

Entry 3:
Density functional theory data (PBE) for a geometry-optimized CaCr2P structure.

Output
Total energy   -0.499 Ry/atom
DOS at the Fermi energy   1.9 states/eV/f.u.
Space group   No. 6

Cell lengths 3.877, 3.272, 6.062 Å; angles 74.98, 90.00, 90.00 degrees
Last column: magnetic moment on the atom in μB.
Sites, in units of the cell vectors:
1 Ca 0.500 0.723 0.692  0.03
2 P 0.000 0.339 0.451  0.03
3 Cr 0.000 0.983 0.152  -2.27
4 Cr 0.500 0.455 0.205  2.75

=====

Entry 4:
Density functional theory data (PBE) for a geometry-optimized Sn2OsWCl structure.

Output
Total energy   -0.430 Ry/atom
Formation energy without anion corrections   0.951 eV per atom
DOS at the Fermi energy   3.5 states/eV/f.u.
Space group   No. 123

Cell lengths 5.363, 5.363, 4.758 Å; angles 90.00, 90.00, 90.00 degrees
Last column: magnetic moment on the atom in μB.
Sites, in units of the cell vectors:
1 Sn 0.000 0.500 0.000  0.00
2 Sn 0.500 0.000 0.000  0.00
3 W 0.000 0.000 0.000  -0.06
4 Os 0.000 0.000 0.500  1.34
5 Cl 0.500 0.500 0.500  0.05

=====

| no. | size of the total moment (μB per atom) |
| --- | --- |
| 1 | 0.00 |
| 2 | 0.00 |
| 3 | 0.17 |
| 4 | 0.32 |